(1)
{"formula": "Ho2Tm5Ga4", "functional": "PBE", "state": "relaxed", "lattice_angstrom": [[3.760, 0.000, 0.000], [0.000, 9.590, 2.805], [-1.880, 1.638, 8.228]], "species": ["Ho", "Ho", "Tm", "Tm", "Tm", "Tm", "Tm", "Ga", "Ga", "Ga", "Ga"], "fractional_positions": [[0.764, 0.618, 0.527], [0.236, 0.382, 0.473], [0.205, 0.915, 0.410], [0.795, 0.085, 0.590], [0.071, 0.292, 0.141], [0.500, 0.000, 0.000], [0.929, 0.708, 0.859], [0.586, 0.551, 0.173], [0.101, 0.738, 0.202], [0.414, 0.449, 0.827], [0.899, 0.262, 0.798]], "formation_energy_ev_per_atom": -0.28}

---

(2)
{"formula": "TaVSn", "functional": "PBE", "state": "relaxed", "lattice_angstrom": [[-1.487, 2.130, -2.284], [1.387, -2.687, -3.408], [-4.958, -4.571, 1.586]], "species": ["Ta", "Ta", "V", "V", "Sn", "Sn"], "fractional_positions": [[0.265, 0.750, 0.030], [0.735, 0.250, 0.970], [0.925, 0.750, 0.351], [0.075, 0.250, 0.649], [0.410, 0.250, 0.320], [0.590, 0.750, 0.680]], "formation_energy_ev_per_atom": 0.01}

---

(3)
{"formula": "AcY2Ho5", "functional": "PBE", "state": "relaxed", "lattice_angstrom": [[-5.691, -2.428, -3.685], [2.655, -6.692, 0.309], [-9.899, -3.126, 17.348]], "species": ["Ac", "Ac", "Ac", "Ac", "Y", "Y", "Y", "Y", "Y", "Y", "Y", "Y", "Ho", "Ho", "Ho", "Ho", "Ho", "Ho", "Ho", "Ho", "Ho", "Ho", "Ho", "Ho", "Ho", "Ho", "Ho", "Ho", "Ho", "Ho", "Ho", "Ho"], "fractional_positions": [[0.000, 0.249, 0.874], [0.000, 0.751, 0.126], [0.000, 0.251, 0.374], [0.000, 0.749, 0.626], [0.745, 0.000, 0.500], [0.255, 0.500, 0.000], [0.255, 0.000, 0.500], [0.745, 0.500, 0.000], [0.500, 0.749, 0.625], [0.500, 0.251, 0.375], [0.500, 0.751, 0.125], [0.500, 0.249, 0.875], [0.745, 0.000, 0.000], [0.255, 0.500, 0.500], [0.255, 0.000, 0.000], [0.745, 0.500, 0.500], [0.000, 0.251, 0.626], [0.000, 0.749, 0.374], [0.000, 0.249, 0.126], [0.000, 0.751, 0.874], [0.500, 0.251, 0.625], [0.500, 0.749, 0.375], [0.500, 0.249, 0.125], [0.500, 0.751, 0.875], [0.744, 0.500, 0.750], [0.744, 0.500, 0.250], [0.256, 0.000, 0.250], [0.256, 0.000, 0.750], [0.256, 0.500, 0.250], [0.256, 0.500, 0.750], [0.744, 0.000, 0.750], [0.744, 0.000, 0.250]], "formation_energy_ev_per_atom": 0.04}

---

(4)
{"formula": "AcY15Er4", "functional": "PBE", "state": "relaxed", "lattice_angstrom": [[-3.502, -1.941, 3.094], [2.480, -4.410, 0.040], [13.430, 7.735, 20.055]], "species": ["Ac", "Y", "Y", "Y", "Y", "Y", "Y", "Y", "Y", "Y", "Y", "Y", "Y", "Y", "Y", "Y", "Er", "Er", "Er", "Er"], "fractional_positions": [[0.000, 0.000, 0.000], [0.500, 0.500, 0.000], [0.500, 0.500, 0.204], [0.500, 0.500, 0.401], [0.500, 0.500, 0.599], [0.500, 0.500, 0.796], [0.500, 0.000, 0.105], [0.500, 0.000, 0.302], [0.500, 0.000, 0.500], [0.500, 0.000, 0.698], [0.500, 0.000, 0.895], [0.000, 0.500, 0.105], [0.000, 0.500, 0.302], [0.000, 0.500, 0.500], [0.000, 0.500, 0.698], [0.000, 0.500, 0.895], [0.000, 0.000, 0.203], [0.000, 0.000, 0.401], [0.000, 0.000, 0.599], [0.000, 0.000, 0.797]], "formation_energy_ev_per_atom": 0.03}